1.
Entry from Alexandria: a relaxed Na2PaAsS5 crystal (PBE).

The value obtained for the formation energy (no corrections) is -1011.9 meV per atom.

It has space group Cmc2_1 (No. 36), with a = 4.1420 Å, b = 16.7753 Å, c = 13.1897 Å, α = 90.00°, β = 90.00° and γ = 90.00°. The asymmetric unit holds Na at (0.0000, 0.0889, 0.0000), Na at (0.0000, 0.1174, 0.6750), Pa at (0.0000, 0.2238, 0.3939), As at (0.0000, 0.4491, 0.7818), S at (0.0000, 0.0689, 0.4069), S at (0.0000, 0.2653, 0.0211), S at (0.0000, 0.3075, 0.7603), S at (0.0000, 0.3686, 0.3421) and S at (0.0000, 0.4919, 0.6234).

=====

2.
Entry from Alexandria: a relaxed Na2PaAs2Se6 crystal (PBE).

The density of states at the Fermi level is 0.248 states/eV/atom. The value obtained for the formation energy (no corrections) is -747.2 meV per atom.

It has space group C2/m (No. 12), with a = 7.4528 Å, b = 12.2393 Å, c = 7.4092 Å, α = 90.00°, β = 111.10° and γ = 90.00°. The asymmetric unit holds Na at (0.0000, 0.1607, 0.0000), Pa at (0.0000, 0.0000, 0.5000), As at (0.0000, 0.3081, 0.5000), Se at (0.2285, 0.1753, 0.7163) and Se at (0.2328, 0.0000, 0.2901).

=====

3.
Entry from Alexandria: a relaxed NaSm2PaAs4 crystal (PBE).

The density of states at the Fermi level is 0.323 states/eV/atom. For the formation energy, the calculation gives -8.65 eV per formula unit.

It has space group P2/m (No. 10), with a = 7.1937 Å, b = 4.2205 Å, c = 7.2358 Å, α = 90.00°, β = 108.61° and γ = 90.00°. The asymmetric unit holds Na at (0.0000, 0.0000, 0.0000), Sm at (0.0000, 0.5000, 0.5000), Sm at (0.5000, 0.0000, 0.5000), Pa at (0.5000, 0.5000, 0.0000), As at (0.2600, 0.0000, 0.7593) and As at (0.2670, 0.5000, 0.2465).

=====

4.
Entry from Alexandria: a relaxed NaTb2PaAs4 crystal (PBE).

The density of states at the Fermi level is 0.290 states/eV/atom. For the formation energy, the calculation gives -8.73 eV per formula unit.

It has space group P2/m (No. 10), with a = 7.1062 Å, b = 4.1785 Å, c = 7.1734 Å, α = 90.00°, β = 108.51° and γ = 90.00°. The asymmetric unit holds Na at (0.0000, 0.0000, 0.0000), Tb at (0.0000, 0.5000, 0.5000), Tb at (0.5000, 0.0000, 0.5000), Pa at (0.5000, 0.5000, 0.0000), As at (0.2571, 0.0000, 0.7546) and As at (0.2670, 0.5000, 0.2509).

=====

5.
Entry from Alexandria: a relaxed Na2ThPaAs4 crystal (PBE).

The density of states at the Fermi level is 0.939 states/eV/atom. For the formation energy, the calculation gives -6.15 eV per formula unit.

It has space group P2/m (No. 10), with a = 7.1841 Å, b = 4.3332 Å, c = 7.4999 Å, α = 90.00°, β = 110.47° and γ = 90.00°. The asymmetric unit holds Na at (0.0000, 0.0000, 0.0000), Na at (0.0000, 0.5000, 0.5000), Th at (0.5000, 0.0000, 0.5000), Pa at (0.5000, 0.5000, 0.0000), As at (0.2771, 0.5000, 0.2477) and As at (0.2832, 0.0000, 0.7713).

=====

6.
Entry from Alexandria: a relaxed Na2UPaAs4 crystal (PBE).

The density of states at the Fermi level is 0.422 states/eV/atom. For the formation energy, the calculation gives -5.29 eV per formula unit.

It has space group P2/m (No. 10), with a = 7.2048 Å, b = 4.2377 Å, c = 7.3415 Å, α = 90.00°, β = 109.79° and γ = 90.00°. The asymmetric unit holds Na at (0.0000, 0.0000, 0.0000), Na at (0.0000, 0.5000, 0.5000), U at (0.5000, 0.0000, 0.5000), Pa at (0.5000, 0.5000, 0.0000), As at (0.2875, 0.0000, 0.7601) and As at (0.2887, 0.5000, 0.2650).

=====

7.
Entry from Alexandria: a relaxed Na3ZrPa2As6 crystal (PBE).

The density of states at the Fermi level is 0.824 states/eV/atom. For the formation energy, the calculation gives -8.67 eV per formula unit.

It has space group C2/m (No. 12), with a = 7.2041 Å, b = 12.4891 Å, c = 7.2524 Å, α = 90.00°, β = 109.49° and γ = 90.00°. The asymmetric unit holds Na at (0.0000, 0.0000, 0.0000), Na at (0.0000, 0.3328, 0.0000), Zr at (0.0000, 0.5000, 0.5000), Pa at (0.0000, 0.1663, 0.5000), As at (0.2350, 0.3364, 0.7150) and As at (0.2458, 0.0000, 0.7156).

=====

8.
Entry from Alexandria: a relaxed NaAsPb2 crystal (PBE).

The density of states at the Fermi level is 0.430 states/eV/atom. For the formation energy, the calculation gives -0.35 eV per formula unit.

It has space group P4/mmm (No. 123), with a = 4.7552 Å, b = 4.7552 Å, c = 4.7092 Å, α = 90.00°, β = 90.00° and γ = 90.00°. The asymmetric unit holds Na at (0.0000, 0.0000, 0.0000), As at (0.5000, 0.5000, 0.0000) and Pb at (0.0000, 0.5000, 0.5000).

=====

9.
Entry from Alexandria: a relaxed Na6AsPb3 crystal (PBE).

The density of states at the Fermi level is 0.397 states/eV/atom. For the formation energy, the calculation gives -1.51 eV per formula unit.

It has space group P2_1/c (No. 14), with a = 9.3351 Å, b = 6.4199 Å, c = 13.5643 Å, α = 90.00°, β = 131.57° and γ = 90.00°. The asymmetric unit holds Na at (0.1008, 0.1126, 0.4316), Na at (0.2540, 0.5794, 0.4405), Na at (0.3719, 0.7418, 0.7318), As at (0.0000, 0.0000, 0.0000), Pb at (0.2387, 0.2475, 0.2409) and Pb at (0.5000, 0.0000, 0.5000).

=====

10.
Entry from Alexandria: a relaxed NaAsPb3 crystal (PBE).

The density of states at the Fermi level is 0.607 states/eV/atom. For the formation energy, the calculation gives 3.38 eV per formula unit.

It has space group Pm-3m (No. 221), with a = 5.4624 Å, b = 5.4624 Å, c = 5.4624 Å, α = 90.00°, β = 90.00° and γ = 90.00°. The asymmetric unit holds Na at (0.0000, 0.0000, 0.0000), As at (0.5000, 0.5000, 0.5000) and Pb at (0.0000, 0.0000, 0.5000).

=====

11.
Entry from Alexandria: a relaxed NaAsPb2 crystal (PBE).

The density of states at the Fermi level is 0.580 states/eV/atom. For the formation energy, the calculation gives -0.06 eV per formula unit.

It has space group P4/mmm (No. 123), with a = 3.9902 Å, b = 3.9902 Å, c = 6.9450 Å, α = 90.00°, β = 90.00° and γ = 90.00°. The asymmetric unit holds Na at (0.0000, 0.0000, 0.0000), As at (0.0000, 0.0000, 0.5000) and Pb at (0.5000, 0.5000, 0.2796).

=====

12.
Entry from Alexandria: a relaxed Na2AsPb2 crystal (PBE).

The density of states at the Fermi level is 0.848 states/eV/atom. For the formation energy, the calculation gives 0.13 eV per formula unit.

It has space group P4/mbm (No. 127), with a = 7.3217 Å, b = 7.3217 Å, c = 5.0473 Å, α = 90.00°, β = 90.00° and γ = 90.00°. The asymmetric unit holds Na at (0.1425, 0.3575, 0.0000), As at (0.0000, 0.0000, 0.0000) and Pb at (0.1731, 0.6731, 0.5000).

=====

13.
Entry from Alexandria: a relaxed Na2AsPb2 crystal (PBE).

The density of states at the Fermi level is 0.741 states/eV/atom. For the formation energy, the calculation gives -0.21 eV per formula unit.

It has space group P4/mbm (No. 127), with a = 7.6912 Å, b = 7.6912 Å, c = 5.0977 Å, α = 90.00°, β = 90.00° and γ = 90.00°. The asymmetric unit holds Na at (0.1666, 0.3334, 0.0000), As at (0.0000, 0.0000, 0.5000) and Pb at (0.1446, 0.6446, 0.5000).

=====

14.
Entry from Alexandria: a relaxed NaAsPb2 crystal (PBE).

The density of states at the Fermi level is 0.509 states/eV/atom. For the formation energy, the calculation gives 0.25 eV per formula unit.

It has space group R-3m (No. 166, hexagonal axes), with a = 3.9675 Å, b = 3.9675 Å, c = 30.1394 Å, α = 90.00°, β = 90.00° and γ = 120.00°. The asymmetric unit holds Na at (0.0000, 0.0000, 0.0000), As at (0.0000, 0.0000, 0.5000) and Pb at (0.0000, 0.0000, 0.1066).

=====

15.
Entry from Alexandria: a relaxed NaAsPb2 crystal (PBE).

The density of states at the Fermi level is 0.506 states/eV/atom. For the formation energy, the calculation gives -0.10 eV per formula unit.

It has space group R3m (No. 160, hexagonal axes), with a = 3.9994 Å, b = 3.9994 Å, c = 25.9468 Å, α = 90.00°, β = 90.00° and γ = 120.00°. The asymmetric unit holds Na at (0.0000, 0.0000, 0.0000), As at (0.0000, 0.0000, 0.1659), Pb at (0.0000, 0.0000, 0.5697) and Pb at (0.0000, 0.0000, 0.7632).

=====

16.
Entry from Alexandria: a relaxed NaAsPb2 crystal (PBE).

The density of states at the Fermi level is 0.471 states/eV/atom. For the formation energy, the calculation gives -0.37 eV per formula unit.

It has space group I-42d (No. 122), with a = 8.6441 Å, b = 8.6441 Å, c = 6.4393 Å, α = 90.00°, β = 90.00° and γ = 90.00°. The asymmetric unit holds Na at (0.0000, 0.0000, 0.0000), As at (0.0000, 0.0000, 0.5000) and Pb at (0.2023, 0.7500, 0.6250).

=====

17.
Entry from Alexandria: a relaxed NaAsPb3 crystal (PBE).

The density of states at the Fermi level is 0.805 states/eV/atom. For the formation energy, the calculation gives 1.26 eV per formula unit.

It has space group Pm-3m (No. 221), with a = 5.6983 Å, b = 5.6983 Å, c = 5.6983 Å, α = 90.00°, β = 90.00° and γ = 90.00°. The asymmetric unit holds Na at (0.0000, 0.0000, 0.0000), As at (0.5000, 0.5000, 0.5000) and Pb at (0.0000, 0.5000, 0.5000).

=====

18.
Entry from Alexandria: a relaxed Na2As3Pd4Pb crystal (PBE).

The density of states at the Fermi level is 0.448 states/eV/atom. For the formation energy, the calculation gives -3.46 eV per formula unit.

It has space group P-4m2 (No. 115), with a = 4.4524 Å, b = 4.4524 Å, c = 10.4930 Å, α = 90.00°, β = 90.00° and γ = 90.00°. The asymmetric unit holds Na at (0.0000, 0.5000, 0.2346), As at (0.0000, 0.5000, 0.8834), As at (0.5000, 0.5000, 0.5000), Pd at (0.0000, 0.0000, 0.0000), Pd at (0.0000, 0.5000, 0.6526), Pd at (0.5000, 0.5000, 0.0000) and Pb at (0.0000, 0.0000, 0.5000).

=====

19.
Entry from Alexandria: a relaxed NaAsRh2Pb crystal (PBE).

The density of states at the Fermi level is 1.146 states/eV/atom. For the formation energy, the calculation gives 5.77 eV per formula unit.

It has space group P4/mmm (No. 123), with a = 4.7731 Å, b = 4.7731 Å, c = 4.7098 Å, α = 90.00°, β = 90.00° and γ = 90.00°. The asymmetric unit holds Na at (0.0000, 0.0000, 0.0000), As at (0.0000, 0.0000, 0.5000), Rh at (0.0000, 0.5000, 0.0000) and Pb at (0.5000, 0.5000, 0.5000).

=====

20.
Entry from Alexandria: a relaxed NaAsRu2Pb crystal (PBE).

The density of states at the Fermi level is 1.512 states/eV/atom. For the formation energy, the calculation gives 9.90 eV per formula unit.

It has space group P4/mmm (No. 123), with a = 4.6248 Å, b = 4.6248 Å, c = 4.7700 Å, α = 90.00°, β = 90.00° and γ = 90.00°. The asymmetric unit holds Na at (0.0000, 0.0000, 0.0000), As at (0.5000, 0.5000, 0.5000), Ru at (0.0000, 0.5000, 0.0000) and Pb at (0.0000, 0.0000, 0.5000).

=====

Number 1: raw total energy -0.190 Ha/atom, total magnetization 0.0 μB per formula unit, calculated density 3.7 g cm⁻³. Number 2: raw total energy -0.169 Ha/atom, total magnetization 0.0 μB per formula unit, calculated density 4.7 g cm⁻³. Number 3: raw total energy -0.218 Ha/atom, total magnetization 0.0 μB per formula unit, calculated density 6.8 g cm⁻³. Number 4: raw total energy -0.218 Ha/atom, total magnetization 0.0 μB per formula unit, calculated density 7.2 g cm⁻³. Number 5: raw total energy -0.204 Ha/atom, total magnetization 0.0 μB per formula unit, calculated density 6.1 g cm⁻³. Number 6: raw total energy -0.217 Ha/atom, total magnetization 1.0 μB per formula unit, calculated density 6.4 g cm⁻³. Number 7: raw total energy -0.208 Ha/atom, total magnetization 0.0 μB per formula unit, calculated density 5.8 g cm⁻³. Number 8: raw total energy -0.126 Ha/atom, total magnetization 0.0 μB per formula unit, calculated density 8.0 g cm⁻³. Number 9: raw total energy -0.093 Ha/atom, total magnetization 0.0 μB per formula unit, calculated density 4.6 g cm⁻³. Number 10: raw total energy -0.101 Ha/atom, total magnetization 0.0 μB per formula unit, calculated density 7.3 g cm⁻³. Number 11: raw total energy -0.124 Ha/atom, total magnetization 0.0 μB per formula unit, calculated density 7.7 g cm⁻³. Number 12: raw total energy -0.107 Ha/atom, total magnetization 0.0 μB per formula unit, calculated density 6.6 g cm⁻³. Number 13: raw total energy -0.110 Ha/atom, total magnetization 0.0 μB per formula unit, calculated density 5.9 g cm⁻³. Number 14: raw total energy -0.121 Ha/atom, total magnetization 0.0 μB per formula unit, calculated density 6.2 g cm⁻³. Number 15: raw total energy -0.124 Ha/atom, total magnetization 0.0 μB per formula unit, calculated density 7.1 g cm⁻³. Number 16: raw total energy -0.126 Ha/atom, total magnetization 0.0 μB per formula unit, calculated density 7.1 g cm⁻³. Number 17: raw total energy -0.116 Ha/atom, total magnetization 0.0 μB per formula unit, calculated density 6.5 g cm⁻³. Number 18: raw total energy -0.164 Ha/atom, total magnetization 0.0 μB per formula unit, calculated density 7.2 g cm⁻³. Number 19: raw total energy -0.137 Ha/atom, total magnetization 0.0 μB per formula unit, calculated density 7.9 g cm⁻³. Number 20: raw total energy -0.135 Ha/atom, total magnetization 2.4 μB per formula unit, calculated density 8.3 g cm⁻³.